1.
## Be3CoMo (meta-GGA SCAN)

Data for a crystal of Be3CoMo relaxed with PBEsol.

Cell and atoms, written as POSCAR:
```
Be3CoMo
1.0
4.123 0.000 0.000
0.000 4.123 0.000
0.000 0.000 4.123
Be Mo Co
3 1 1
Direct
0.000 0.500 0.000 Be
0.000 0.000 0.500 Be
0.500 0.000 0.000 Be
0.000 0.000 0.000 Mo
0.500 0.500 0.500 Co
```

Properties
E_tot = -11.48 eV/atom
ΔE_f = 7.85 eV per formula unit
calculated density = 4.3 g cm⁻³
density of states at the Fermi level = 3.00 states/eV/cell

---

2.
## SiAsPCl2 (meta-GGA SCAN)

Data for a crystal of SiAsPCl2 relaxed with PBEsol.

Cell and atoms, written as POSCAR:
```
SiAsPCl2
1.0
-4.425 -1.201 1.110
-0.543 -1.943 -4.264
1.643 -4.394 1.793
P As Si Cl
1 1 1 2
Direct
0.000 0.000 0.500 P
0.000 0.000 0.000 As
0.500 0.500 0.500 Si
0.000 0.500 0.000 Cl
0.500 0.000 0.000 Cl
```

Properties
ΔE_f (raw) = 3.1 eV/f.u.
E_tot = -10.69 eV/atom
calculated density = 3.0 g cm⁻³
density of states at the Fermi level = 1.82 states/eV/cell